Computed, not measured: a relaxed Lu4AsSN2 crystal at the PBE level of DFT.

The structure in POSCAR format:
```
Lu4AsSN2
1.0
-0.258 3.123 1.631
-2.716 -1.235 -1.891
-4.522 -5.712 10.224
Lu N As S
4 2 1 1
Direct
0.333 0.667 0.144
0.667 0.333 0.653
0.667 0.333 0.347
0.333 0.667 0.856
0.000 0.000 0.760
0.000 0.000 0.240
0.333 0.667 0.500
0.667 0.333 0.000
```

Output
Total DFT energy (no corrections) in Ha/atom: -0.26001
Size of the total moment in μB/f.u.: 0.00

Computed, not measured: a relaxed Lu2Sc4As3N3 crystal at the PBE level of DFT.

The structure in POSCAR format:
```
Lu2Sc4As3N3
1.0
-1.998 5.572 0.475
-2.616 1.803 5.017
12.777 1.189 2.724
As N Sc Lu
6 6 8 4
Direct
0.067 0.933 0.250
0.583 0.767 0.750
0.233 0.417 0.750
0.767 0.583 0.250
0.933 0.067 0.750
0.417 0.233 0.250
0.000 0.500 0.000
0.162 0.669 0.500
0.669 0.162 0.000
0.331 0.838 0.000
0.500 0.000 0.500
0.838 0.331 0.500
0.866 0.699 0.596
0.301 0.134 0.904
0.033 0.198 0.096
0.967 0.802 0.904
0.802 0.967 0.404
0.198 0.033 0.596
0.699 0.866 0.096
0.134 0.301 0.404
0.534 0.367 0.601
0.633 0.466 0.899
0.466 0.633 0.399
0.367 0.534 0.101
```

Output
Total DFT energy (no corrections) in Ha/atom: -0.27660
Size of the total moment in μB/f.u.: 0.00

Computed, not measured: a relaxed Lu2Ta4As3N3 crystal at the PBE level of DFT.

The structure in POSCAR format:
```
Lu2Ta4As3N3
1.0
-1.107 2.538 5.171
-2.174 -3.228 4.389
12.241 -2.334 0.517
N As Ta Lu
6 6 8 4
Direct
0.338 0.823 0.500
0.500 0.000 0.000
0.662 0.177 0.500
0.823 0.338 0.000
0.000 0.500 0.500
0.177 0.662 0.000
0.778 0.580 0.750
0.580 0.778 0.250
0.420 0.222 0.750
0.939 0.061 0.250
0.222 0.420 0.250
0.061 0.939 0.750
0.868 0.697 0.088
0.190 0.037 0.088
0.303 0.132 0.412
0.810 0.963 0.912
0.697 0.868 0.588
0.037 0.190 0.588
0.963 0.810 0.412
0.132 0.303 0.912
0.534 0.370 0.105
0.630 0.466 0.395
0.466 0.630 0.895
0.370 0.534 0.605
```

Output
Total DFT energy (no corrections) in Ha/atom: -0.32566
Size of the total moment in μB/f.u.: 0.00

Computed, not measured: a relaxed Lu4TlAsN2 crystal at the PBE level of DFT.

The structure in POSCAR format:
```
Lu4TlAsN2
1.0
3.503 0.000 0.000
-1.751 3.033 0.000
0.000 0.000 14.064
N Tl Lu As
2 1 4 1
Direct
0.333 0.667 0.233
0.333 0.667 0.767
0.667 0.333 0.500
0.667 0.333 0.860
0.000 0.000 0.678
0.000 0.000 0.322
0.667 0.333 0.140
0.000 0.000 0.000
```

Output
Total DFT energy (no corrections) in Ha/atom: -0.23661
Size of the total moment in μB/f.u.: 0.01

Computed, not measured: a relaxed Lu4As3W2N3 crystal at the PBE level of DFT.

The structure in POSCAR format:
```
Lu4As3W2N3
1.0
-0.036 0.713 5.951
-5.194 0.907 2.849
0.377 -12.489 -1.406
Lu N W As
8 6 4 6
Direct
0.032 0.204 0.603
0.138 0.296 0.897
0.296 0.138 0.397
0.704 0.862 0.603
0.796 0.968 0.897
0.862 0.704 0.103
0.968 0.796 0.397
0.204 0.032 0.103
0.500 0.000 0.000
0.840 0.331 0.000
0.331 0.840 0.500
0.000 0.500 0.500
0.669 0.160 0.500
0.160 0.669 0.000
0.472 0.619 0.916
0.619 0.472 0.416
0.528 0.381 0.084
0.381 0.528 0.584
0.712 0.581 0.751
0.876 0.124 0.250
0.288 0.419 0.249
0.124 0.876 0.750
0.419 0.288 0.749
0.581 0.712 0.251
```

Output
Total DFT energy (no corrections) in Ha/atom: -0.28941
Size of the total moment in μB/f.u.: 0.01

Computed, not measured: a relaxed Lu2As3W4N3 crystal at the PBE level of DFT.

The structure in POSCAR format:
```
Lu2As3W4N3
1.0
0.006 3.091 4.909
-3.901 -1.208 4.119
8.804 -8.362 1.956
As Lu N W
6 4 6 8
Direct
0.208 0.425 0.254
0.425 0.208 0.754
0.948 0.052 0.250
0.792 0.575 0.746
0.575 0.792 0.246
0.052 0.948 0.750
0.468 0.636 0.893
0.636 0.468 0.393
0.532 0.364 0.107
0.364 0.532 0.607
0.179 0.660 0.000
0.000 0.500 0.500
0.500 0.000 0.000
0.340 0.821 0.500
0.660 0.179 0.500
0.821 0.340 0.000
0.127 0.299 0.917
0.299 0.127 0.417
0.956 0.822 0.417
0.701 0.873 0.583
0.873 0.701 0.083
0.178 0.044 0.083
0.044 0.178 0.583
0.822 0.956 0.917
```

Output
Total DFT energy (no corrections) in Ha/atom: -0.32043
Size of the total moment in μB/f.u.: 0.00

Computed, not measured: a relaxed Y2Lu4As3N3 crystal at the PBE level of DFT.

The structure in POSCAR format:
```
Y2Lu4As3N3
1.0
-5.837 1.885 1.457
-4.566 -4.262 0.851
6.362 0.169 11.637
N Lu Y As
6 8 4 6
Direct
0.153 0.674 0.500
0.500 0.000 0.500
0.847 0.326 0.500
0.000 0.500 0.000
0.326 0.847 0.000
0.674 0.153 0.000
0.701 0.867 0.101
0.799 0.967 0.399
0.133 0.299 0.399
0.967 0.799 0.899
0.299 0.133 0.899
0.867 0.701 0.601
0.033 0.201 0.101
0.201 0.033 0.601
0.631 0.464 0.894
0.369 0.536 0.106
0.464 0.631 0.394
0.536 0.369 0.606
0.925 0.075 0.750
0.759 0.583 0.250
0.075 0.925 0.250
0.583 0.759 0.750
0.417 0.241 0.250
0.241 0.417 0.750
```

Output
Total DFT energy (no corrections) in Ha/atom: -0.26590
Size of the total moment in μB/f.u.: 0.00

Computed, not measured: a relaxed NaLuAsO crystal at the PBE level of DFT.

The structure in POSCAR format:
```
NaLuAsO
1.0
5.577 0.000 0.000
0.000 5.577 0.000
0.000 0.000 4.892
Na As O Lu
2 2 2 2
Direct
0.250 0.250 0.002
0.750 0.750 0.998
0.750 0.750 0.498
0.250 0.250 0.502
0.750 0.250 0.000
0.250 0.750 0.000
0.250 0.750 0.500
0.750 0.250 0.500
```

Output
Total DFT energy (no corrections) in Ha/atom: -0.18382
Size of the total moment in μB/f.u.: 0.86
Excess energy over the best structure of this formula in the dataset in meV/atom: 568

Computed, not measured: a relaxed NaLuAsO crystal at the PBE level of DFT.

The structure in POSCAR format:
```
NaLuAsO
1.0
3.813 0.000 0.000
0.000 3.813 0.000
0.000 0.000 10.292
Lu As Na O
2 2 2 2
Direct
0.000 0.500 0.897
0.500 0.000 0.103
0.000 0.500 0.286
0.500 0.000 0.714
0.000 0.000 0.500
0.500 0.500 0.500
0.000 0.000 0.000
0.500 0.500 0.000
```

Output
Total DFT energy (no corrections) in Ha/atom: -0.20468
Size of the total moment in μB/f.u.: 0.00
Excess energy over the best structure of this formula in the dataset in meV/atom: 0

Computed, not measured: a relaxed NaLuAsSe3 crystal at the PBE level of DFT.

The structure in POSCAR format:
```
NaLuAsSe3
1.0
2.024 -7.278 0.000
2.024 7.278 0.000
0.000 0.000 10.311
Lu Se Na As
2 6 2 2
Direct
0.000 0.000 0.500
0.000 0.000 0.000
0.103 0.897 0.750
0.363 0.637 0.955
0.637 0.363 0.455
0.363 0.637 0.545
0.637 0.363 0.045
0.897 0.103 0.250
0.247 0.753 0.250
0.753 0.247 0.750
0.544 0.456 0.250
0.456 0.544 0.750
```

Output
Total DFT energy (no corrections) in Ha/atom: -0.15895
Size of the total moment in μB/f.u.: 0.17

Computed, not measured: a relaxed LuNb2As crystal at the PBE level of DFT.

The structure in POSCAR format:
```
LuNb2As
1.0
-0.333 -3.716 2.928
-3.899 -2.701 -0.030
0.184 -4.410 -1.735
Nb Lu As
2 1 1
Direct
0.000 0.000 0.000
0.750 0.750 0.750
0.250 0.250 0.250
0.500 0.500 0.500
```

Output
Total DFT energy (no corrections) in Ha/atom: -0.27291
Size of the total moment in μB/f.u.: 0.02

Computed, not measured: a relaxed LuNbAs2 crystal at the PBE level of DFT.

The structure in POSCAR format:
```
LuNbAs2
1.0
0.000 3.377 3.377
3.377 0.000 3.377
3.377 3.377 0.000
As Lu Nb
2 1 1
Direct
0.000 0.000 0.000
0.250 0.250 0.250
0.500 0.500 0.500
0.750 0.750 0.750
```

Output
Total DFT energy (no corrections) in Ha/atom: -0.21753
Size of the total moment in μB/f.u.: 1.52

Computed, not measured: a relaxed LuNbNiAs crystal at the PBE level of DFT.

The structure in POSCAR format:
```
LuNbNiAs
1.0
0.000 3.311 3.311
3.311 0.000 3.311
3.311 3.311 0.000
Lu Nb As Ni
1 1 1 1
Direct
0.250 0.250 0.250
0.500 0.500 0.500
0.000 0.000 0.000
0.750 0.750 0.750
```

Output
Total DFT energy (no corrections) in Ha/atom: -0.21652
Size of the total moment in μB/f.u.: 2.72
Excess energy over the best structure of this formula in the dataset in meV/atom: 216

Computed, not measured: a relaxed LuNbNiAs crystal at the PBE level of DFT.

The structure in POSCAR format:
```
LuNbNiAs
1.0
0.000 3.237 3.237
3.237 0.000 3.237
3.237 3.237 0.000
Lu Nb As Ni
1 1 1 1
Direct
0.500 0.500 0.500
0.250 0.250 0.250
0.000 0.000 0.000
0.750 0.750 0.750
```

Output
Total DFT energy (no corrections) in Ha/atom: -0.22444
Size of the total moment in μB/f.u.: 0.05
Excess energy over the best structure of this formula in the dataset in meV/atom: 0

Computed, not measured: a relaxed LuNbAsO crystal at the PBE level of DFT.

The structure in POSCAR format:
```
LuNbAsO
1.0
-2.956 0.284 -2.333
-4.595 -1.456 5.647
-0.356 5.446 1.115
Lu O Nb As
2 2 2 2
Direct
0.000 0.685 0.430
0.000 0.315 0.930
0.500 0.805 0.377
0.500 0.195 0.877
0.500 0.063 0.516
0.500 0.937 0.016
0.000 0.309 0.431
0.000 0.691 0.931
```

Output
Total DFT energy (no corrections) in Ha/atom: -0.27342
Size of the total moment in μB/f.u.: 0.21
Excess energy over the best structure of this formula in the dataset in meV/atom: 517

Computed, not measured: a relaxed LuNbAsO crystal at the PBE level of DFT.

The structure in POSCAR format:
```
LuNbAsO
1.0
-1.487 0.014 3.744
3.385 -1.714 1.351
3.171 7.233 1.232
Nb As Lu O
2 2 2 2
Direct
0.500 0.000 0.122
0.000 0.500 0.878
0.500 0.000 0.746
0.000 0.500 0.254
0.000 0.000 0.500
0.500 0.500 0.500
0.500 0.500 0.000
0.000 0.000 0.000
```

Output
Total DFT energy (no corrections) in Ha/atom: -0.25172
Size of the total moment in μB/f.u.: 0.10
Excess energy over the best structure of this formula in the dataset in meV/atom: 1108

Computed, not measured: a relaxed LuNbAsO crystal at the PBE level of DFT.

The structure in POSCAR format:
```
LuNbAsO
1.0
3.914 0.000 0.000
0.000 3.914 0.000
0.000 0.000 8.872
O Lu Nb As
2 2 2 2
Direct
0.000 0.000 0.000
0.500 0.500 0.000
0.000 0.500 0.884
0.500 0.000 0.116
0.000 0.000 0.500
0.500 0.500 0.500
0.000 0.500 0.295
0.500 0.000 0.705
```

Output
Total DFT energy (no corrections) in Ha/atom: -0.29244
Size of the total moment in μB/f.u.: 0.01
Excess energy over the best structure of this formula in the dataset in meV/atom: 0

Computed, not measured: a relaxed LuNbAsO crystal at the PBE level of DFT.

The structure in POSCAR format:
```
LuNbAsO
1.0
-2.778 0.847 2.987
-3.709 -1.584 -3.000
0.676 -5.988 2.327
Lu Nb As O
2 2 2 2
Direct
0.500 0.797 0.101
0.500 0.203 0.601
0.000 0.382 0.937
0.000 0.618 0.437
0.000 0.124 0.290
0.000 0.876 0.790
0.500 0.398 0.925
0.500 0.602 0.425
```

Output
Total DFT energy (no corrections) in Ha/atom: -0.28247
Size of the total moment in μB/f.u.: 0.00
Excess energy over the best structure of this formula in the dataset in meV/atom: 271

Computed, not measured: a relaxed NdLuAs crystal at the PBE level of DFT.

The structure in POSCAR format:
```
NdLuAs
1.0
0.000 3.436 3.436
3.436 0.000 3.436
3.436 3.436 0.000
Nd As Lu
1 1 1
Direct
0.750 0.750 0.750
0.000 0.000 0.000
0.250 0.250 0.250
```

Output
Total DFT energy (no corrections) in Ha/atom: -0.19637
Size of the total moment in μB/f.u.: 0.01

Computed, not measured: a relaxed NdLuAsO crystal at the PBE level of DFT.

The structure in POSCAR format:
```
NdLuAsO
1.0
-1.472 2.087 -3.550
-2.267 -3.558 -1.152
-7.029 2.969 4.660
Lu Nd As O
2 2 2 2
Direct
0.250 0.750 0.500
0.750 0.250 0.500
0.750 0.750 0.888
0.250 0.250 0.112
0.250 0.250 0.693
0.750 0.750 0.307
0.750 0.250 0.000
0.250 0.750 0.000
```

Output
Total DFT energy (no corrections) in Ha/atom: -0.24420
Size of the total moment in μB/f.u.: 0.00
Excess energy over the best structure of this formula in the dataset in meV/atom: 0

Computed, not measured: a relaxed NdLuAsO crystal at the PBE level of DFT.

The structure in POSCAR format:
```
NdLuAsO
1.0
-2.144 3.422 1.332
-2.335 -2.461 2.564
6.059 1.200 6.669
Lu O Nd As
2 2 2 2
Direct
0.250 0.250 0.090
0.750 0.750 0.910
0.250 0.750 0.000
0.750 0.250 0.000
0.250 0.750 0.500
0.750 0.250 0.500
0.750 0.750 0.275
0.250 0.250 0.725
```

Output
Total DFT energy (no corrections) in Ha/atom: -0.23790
Size of the total moment in μB/f.u.: 0.16
Excess energy over the best structure of this formula in the dataset in meV/atom: 172